# 1
Cs7RbF2: optimized geometry, PBE-GGA.

- Space group: Cmmm (65)
- Formation energy (no corrections): -0.994 eV per atom

abc: 5.417 11.891 13.016
angles: 117.18 90.00 90.00
Element x y z (fractional)
Rb  0.000  0.000  0.000
Cs  0.500  0.373  0.266
Cs  0.500  0.893  0.266
Cs  0.500  0.627  0.734
Cs  0.000  0.307  0.614
F  0.500  0.631  0.261
F  0.500  0.369  0.739
Cs  0.500  0.500  0.000
Cs  0.500  0.107  0.734
Cs  0.000  0.693  0.386

***

# 2
CsRb4F5: optimized geometry, PBE-GGA.

- Space group: C2/m (12)
- Formation energy (no corrections): -2.659 eV per atom

abc: 4.106 7.112 9.181
angles: 75.10 77.08 73.22
Site moments in Bohr magnetons follow the coordinates.
Element x y z (fractional)
Rb  0.401  0.795  0.404  0.00
Rb  0.199  0.397  0.204  0.00
Rb  0.599  0.205  0.596  0.00
F  0.203  0.902  0.692  0.06
F  0.797  0.098  0.308  0.06
F  0.605  0.683  0.106  0.06
Rb  0.801  0.603  0.796  0.00
F  0.000  0.500  0.500  0.08
F  0.395  0.317  0.894  0.06
Cs  0.000  0.000  0.000  0.01

***

# 3
CsRbF: optimized geometry, PBE-GGA.

- Space group: C2/m (12)
- Formation energy (no corrections): -1.706 eV per atom

abc: 5.134 5.135 13.341
angles: 79.25 79.25 60.49
Element x y z (fractional)
F  0.794  0.294  0.622
Rb  0.281  0.781  0.150
Cs  0.132  0.632  0.611
F  0.206  0.706  0.378
Cs  0.868  0.368  0.389
Rb  0.719  0.219  0.850

***

# 4
Cs3Rb12F5: optimized geometry, PBE-GGA.

- Space group: Ia-3d (230)
- Formation energy (no corrections): -1.156 eV per atom

abc: 18.273 18.273 18.273
angles: 109.47 109.47 109.47
Element x y z (fractional)
F  0.500  0.500  0.000
F  0.125  0.750  0.375
Rb  0.912  0.331  0.529
F  0.500  0.000  0.000
Rb  0.081  0.883  0.412
Rb  0.581  0.669  0.699
Cs  0.875  0.750  0.125
Rb  0.831  0.529  0.412
F  0.125  0.375  0.250
Rb  0.419  0.331  0.301
Rb  0.919  0.117  0.588
Rb  0.419  0.088  0.617
Rb  0.383  0.412  0.581
Rb  0.301  0.831  0.419
F  0.250  0.875  0.125
Cs  0.125  0.875  0.750
Cs  0.625  0.375  0.750
F  0.500  0.000  0.500
Rb  0.669  0.581  0.199
Rb  0.412  0.029  0.831
F  0.625  0.750  0.875
Cs  0.750  0.875  0.625
Rb  0.199  0.081  0.669
F  0.000  0.500  0.000
F  0.250  0.375  0.625
F  0.000  0.000  0.000
Cs  0.625  0.250  0.375
Cs  0.250  0.125  0.375
F  0.000  0.500  0.500
Rb  0.971  0.383  0.801
Rb  0.169  0.699  0.081
Rb  0.699  0.529  0.617
Rb  0.588  0.617  0.919
Rb  0.919  0.801  0.831
Cs  0.750  0.375  0.125
Rb  0.617  0.588  0.419
F  0.750  0.625  0.375
Rb  0.331  0.912  0.029
Cs  0.250  0.625  0.875
Rb  0.588  0.971  0.169
Cs  0.375  0.750  0.625
F  0.500  0.500  0.500
Rb  0.971  0.588  0.669
Rb  0.088  0.669  0.471
Cs  0.375  0.625  0.250
Rb  0.199  0.117  0.029
Rb  0.699  0.169  0.581
Rb  0.617  0.029  0.699
Rb  0.883  0.801  0.471
Rb  0.117  0.199  0.529
Rb  0.831  0.301  0.919
Cs  0.875  0.125  0.250
Rb  0.669  0.088  0.971
Rb  0.088  0.419  0.117
Rb  0.081  0.199  0.169
F  0.375  0.125  0.750
Rb  0.029  0.412  0.331
Rb  0.801  0.919  0.331
Rb  0.029  0.617  0.199
F  0.625  0.875  0.250
Rb  0.412  0.383  0.081
Rb  0.883  0.081  0.912
Rb  0.471  0.301  0.883
Rb  0.169  0.471  0.588
Rb  0.912  0.581  0.883
F  0.750  0.125  0.875
Rb  0.471  0.169  0.088
F  0.875  0.625  0.750
Rb  0.801  0.883  0.971
Rb  0.581  0.912  0.383
F  0.000  0.000  0.500
Cs  0.125  0.250  0.875
Rb  0.529  0.699  0.117
Rb  0.301  0.471  0.383
Rb  0.529  0.831  0.912
Rb  0.331  0.419  0.801
F  0.875  0.250  0.625
F  0.375  0.250  0.125
Rb  0.117  0.919  0.088
Rb  0.383  0.971  0.301

***

# 5
CsRb2F2: optimized geometry, PBE-GGA.

- Space group: I4/mmm (139)
- Formation energy (no corrections): -1.993 eV per atom

abc: 5.277 5.277 8.661
angles: 72.26 72.26 90.00
Element x y z (fractional)
Cs  0.000  0.000  0.000
F  0.250  0.750  0.500
Rb  0.702  0.702  0.596
Rb  0.298  0.298  0.404
F  0.750  0.250  0.500

***

# 6
Cs4RbF2: optimized geometry, PBE-GGA.

- Space group: I4/mmm (139)
- Formation energy (no corrections): -1.057 eV per atom

abc: 7.859 7.859 10.944
angles: 68.96 68.96 90.00
Element x y z (fractional)
Cs  0.276  0.276  0.447
Rb  0.000  0.000  0.000
Cs  0.500  0.000  0.000
F  0.591  0.591  0.817
Cs  0.724  0.724  0.553
F  0.409  0.409  0.183
Cs  0.000  0.500  0.000

***

# 7
CsRbF2: optimized geometry, PBE-GGA.

- Space group: P4/mmm (123)
- Formation energy (no corrections): -2.647 eV per atom

abc: 4.201 4.201 5.938
angles: 89.96 89.96 90.00
Element x y z (fractional)
F  0.253  0.753  0.498
Cs  0.253  0.753  0.998
F  0.752  0.252  0.998
Rb  0.752  0.252  0.498

***

# 8
CsRbReF6: optimized geometry, PBE-GGA.

- Space group: P312 (149)
- Formation energy (no corrections): -2.483 eV per atom

abc: 5.515 6.674 6.674
angles: 120.00 90.00 90.00
Site moments in Bohr magnetons follow the coordinates.
Element x y z (fractional)
Re  0.500  0.000  0.000  2.40
Cs  0.000  0.333  0.667  0.00
F  0.701  0.752  0.752  0.06
F  0.701  0.000  0.248  0.06
F  0.299  0.248  0.248  0.06
F  0.701  0.248  0.000  0.06
F  0.299  0.000  0.752  0.06
Rb  0.500  0.667  0.333  0.00
F  0.299  0.752  0.000  0.06

***

# 9
Cs2RbRh3F12: optimized geometry, PBE-GGA.

- Space group: R-3m (166)
- Formation energy (no corrections): -2.016 eV per atom

abc: 7.936 7.936 7.936
angles: 56.65 56.65 56.65
Element x y z (fractional)
Cs  0.379  0.379  0.379
F  0.880  0.284  0.284
F  0.716  0.716  0.120
F  0.121  0.555  0.121
F  0.555  0.121  0.121
Rh  0.000  0.000  0.500
Cs  0.621  0.621  0.621
Rh  0.500  0.000  0.000
F  0.716  0.120  0.716
F  0.879  0.879  0.445
Rb  0.000  0.000  0.000
F  0.284  0.284  0.880
F  0.121  0.121  0.555
F  0.120  0.716  0.716
F  0.284  0.880  0.284
F  0.879  0.445  0.879
Rh  0.000  0.500  0.000
F  0.445  0.879  0.879

***

# 10
CsRb2RuF6: optimized geometry, PBE-GGA.

- Space group: Pmmn (59)
- Formation energy (no corrections): -2.332 eV per atom

abc: 6.193 7.709 9.433
angles: 90.00 90.00 90.00
Site moments in Bohr magnetons follow the coordinates.
Element x y z (fractional)
F  0.772  0.009  0.000  0.02
F  0.764  0.637  0.000  0.02
Ru  0.000  0.818  0.000  0.83
Ru  0.500  0.182  0.500  0.83
Cs  0.500  0.328  0.000  0.00
F  0.500  0.183  0.716  0.01
Rb  0.500  0.831  0.210  0.00
F  0.236  0.637  0.000  0.02
Rb  0.500  0.831  0.790  0.00
F  0.000  0.817  0.216  0.01
Cs  0.000  0.672  0.500  0.00
F  0.736  0.363  0.500  0.02
Rb  0.000  0.169  0.290  0.00
F  0.228  0.009  0.000  0.02
F  0.272  0.991  0.500  0.02
F  0.264  0.363  0.500  0.02
F  0.000  0.817  0.784  0.01
F  0.500  0.183  0.284  0.01
Rb  0.000  0.169  0.710  0.00
F  0.728  0.991  0.500  0.02

***

# 11
CsRb2RuF6: optimized geometry, PBE-GGA.

- Space group: Fm-3m (225)
- Formation energy (no corrections): -2.290 eV per atom

abc: 6.775 6.775 6.775
angles: 60.00 60.00 90.00
Site moments in Bohr magnetons follow the coordinates.
Element x y z (fractional)
Ru  0.500  0.500  0.000  0.84
Cs  0.000  0.000  0.000  0.00
Rb  0.750  0.250  0.500  0.00
F  0.289  0.289  0.000  0.02
F  0.289  0.711  0.000  0.02
F  0.711  0.711  0.000  0.02
F  0.711  0.289  0.000  0.02
Rb  0.250  0.750  0.500  0.00
F  0.289  0.289  0.423  0.02
F  0.711  0.711  0.577  0.02

***

# 12
CsRb2SbF: optimized geometry, PBE-GGA.

- Space group: P4/mmm (123)
- Formation energy (no corrections): -1.221 eV per atom

abc: 5.703 5.703 5.945
angles: 90.00 90.00 90.00
Site moments in Bohr magnetons follow the coordinates.
Element x y z (fractional)
Rb  0.500  0.000  0.000  0.01
F  0.000  0.000  0.000  0.00
Rb  0.000  0.500  0.000  0.01
Sb  0.500  0.500  0.500  0.31
Cs  0.000  0.000  0.500  0.02

***

# 13
Cs2RbSbF: optimized geometry, PBE-GGA.

- Space group: P4/mmm (123)
- Formation energy (no corrections): -1.225 eV per atom

abc: 5.986 5.986 5.684
angles: 90.00 90.00 90.00
Site moments in Bohr magnetons follow the coordinates.
Element x y z (fractional)
Cs  0.000  0.500  0.000  0.02
Sb  0.500  0.500  0.500  0.31
F  0.000  0.000  0.000  0.00
Cs  0.500  0.000  0.000  0.02
Rb  0.000  0.000  0.500  0.00

***

# 14
Cs2RbSbF6: optimized geometry, PBE-GGA.

- Space group: P1 (1)
- Formation energy (no corrections): -2.645 eV per atom

abc: 6.851 7.014 7.028
angles: 120.06 120.89 90.00
Element x y z (fractional)
F  0.770  0.733  0.584
F  0.770  0.187  0.919
Cs  0.790  0.263  0.527
F  0.195  0.307  0.462
Sb  0.015  0.006  0.010
F  0.196  0.154  0.888
F  0.771  0.850  0.036
Cs  0.274  0.758  0.516
F  0.198  0.737  0.044
Rb  0.519  0.507  0.013

***

# 15
Cs2RbSc3F12: optimized geometry, PBE-GGA.

- Space group: R-3m (166)
- Formation energy (no corrections): -3.623 eV per atom

abc: 7.952 7.952 7.952
angles: 59.79 59.79 59.79
Site moments in Bohr magnetons follow the coordinates.
Element x y z (fractional)
Sc  0.000  0.000  0.500  -0.01
Sc  0.500  0.000  0.000  -0.01
Sc  0.000  0.500  0.000  -0.01
F  0.279  0.907  0.279  0.01
F  0.435  0.881  0.881  0.06
F  0.721  0.093  0.721  0.01
F  0.119  0.565  0.119  0.06
F  0.721  0.721  0.093  0.01
Cs  0.623  0.623  0.623  0.00
Rb  0.000  0.000  0.000  0.00
F  0.881  0.435  0.881  0.06
F  0.093  0.721  0.721  0.01
F  0.119  0.119  0.565  0.06
F  0.279  0.279  0.907  0.01
F  0.881  0.881  0.435  0.06
F  0.565  0.119  0.119  0.06
F  0.907  0.279  0.279  0.01
Cs  0.377  0.377  0.377  0.00

***

# 16
CsRb2Sc3F12: optimized geometry, PBE-GGA.

- Space group: R-3m (166)
- Formation energy (no corrections): -3.600 eV per atom

abc: 7.941 7.941 7.941
angles: 59.67 59.67 59.67
Element x y z (fractional)
F  0.873  0.873  0.455
F  0.274  0.902  0.274
F  0.127  0.127  0.545
F  0.726  0.098  0.726
Sc  0.000  0.000  0.500
F  0.127  0.545  0.127
Sc  0.500  0.000  0.000
F  0.545  0.127  0.127
F  0.726  0.726  0.098
F  0.902  0.274  0.274
Rb  0.632  0.632  0.632
F  0.455  0.873  0.873
Rb  0.368  0.368  0.368
F  0.873  0.455  0.873
F  0.274  0.274  0.902
F  0.098  0.726  0.726
Sc  0.000  0.500  0.000
Cs  0.000  0.000  0.000

***

# 17
CsRb2SeF: optimized geometry, PBE-GGA.

- Space group: P4/mmm (123)
- Formation energy (no corrections): -1.654 eV per atom

abc: 5.512 5.512 5.709
angles: 90.00 90.00 90.00
Element x y z (fractional)
Cs  0.000  0.000  0.500
Rb  0.000  0.500  0.000
Rb  0.500  0.000  0.000
Se  0.500  0.500  0.500
F  0.000  0.000  0.000

***

# 18
Cs2RbSeF6: optimized geometry, PBE-GGA.

- Space group: I4/mmm (139)
- Formation energy (no corrections): -2.244 eV per atom

abc: 6.572 6.572 7.086
angles: 62.37 62.37 90.00
Site moments in Bohr magnetons follow the coordinates.
Element x y z (fractional)
F  0.289  0.711  0.000  0.02
F  0.711  0.711  0.000  0.02
F  0.711  0.289  0.000  0.02
Se  0.500  0.500  0.000  0.49
Cs  0.750  0.250  0.500  0.00
F  0.289  0.289  0.000  0.02
Cs  0.250  0.750  0.500  0.00
F  0.252  0.252  0.497  0.10
F  0.748  0.748  0.503  0.10
Rb  0.000  0.000  0.000  0.00

***

# 19
Cs2RbSeF6: optimized geometry, PBE-GGA.

- Space group: R-3m (166)
- Formation energy (no corrections): -2.174 eV per atom

abc: 7.113 7.113 11.540
angles: 72.05 72.05 60.00
Element x y z (fractional)
F  0.363  0.363  0.407
Cs  0.867  0.867  0.399
F  0.835  0.225  0.106
F  0.775  0.165  0.894
F  0.225  0.835  0.106
Cs  0.741  0.741  0.777
F  0.165  0.775  0.894
F  0.637  0.637  0.593
F  0.133  0.637  0.593
F  0.165  0.165  0.894
Rb  0.404  0.404  0.788
F  0.835  0.835  0.106
F  0.637  0.133  0.593
Se  0.500  0.500  0.500
Cs  0.133  0.133  0.601
Se  0.000  0.000  0.000
Rb  0.596  0.596  0.212
F  0.363  0.867  0.407
F  0.867  0.363  0.407
Cs  0.259  0.259  0.223

***

The following calculated volume values (in Å³ per atom) correspond, in order, to the records above: 74.6, 24.5, 49.8, 58.7, 43.5, 83.2, 26.2, 23.6, 18.1, 22.5, 22.0, 38.7, 40.7, 23.5, 19.7, 19.5, 34.7, 23.1, 23.6.
The following calculated total energy values (in eV/atom) correspond, in order, to the records above: -2.063, -4.067, -2.937, -2.333, -3.300, -2.218, -4.038, -5.316, -4.637, -4.661, -4.619, -2.977, -2.958, -4.447, -6.074, -6.058, -3.283, -3.983, -3.913.